First-principles (PBE) data for crystalline KSrV at its relaxed geometry, as listed in Alexandria via LeMat-Bulk.

Geometry as POSCAR:
```
KSrV
1.0
6.116 0.000 0.000
-3.058 5.297 0.000
0.000 0.000 3.639
K Sr V
1 1 1
Direct
0.000 0.000 0.000 K
0.333 0.667 0.500 Sr
0.667 0.333 0.500 V
```

Its total energy is -2.9261 eV/atom. The calculation puts the formation energy at 1.04 eV/atom. Its space-group type is No. 187. Its spin magnetization is 4.23 μB/f.u.